Entry 1:
Entry from the Alexandria database: a geometry-optimized Gd2HoAg structure (PBE-GGA).

Unit cell a=3.7363 b=5.4535 c=5.4535 alpha=90.00 beta=90.00 gamma=90.00
With the nearest neighbours (Å) after each atom.
Atoms (fractional coordinates):
Gd  0.0000  0.0000  0.5000  4 Ho 3.31, 4 Ag 3.31
Gd  0.0000  0.5000  0.0000  4 Ho 3.31, 4 Ag 3.31
Ho  0.5000  0.5000  0.5000  8 Gd 3.31
Ag  0.5000  0.0000  0.0000  8 Gd 3.31

Calculated values
The total energy comes out at -35.7 eV per formula unit. For the energy relative to the lowest polymorph listed for this composition, the calculation gives 0.1021 eV/atom. The value obtained for the energy relative to the elements is -0.02 eV/atom. The value obtained for the total magnetization is 15.08 μB per formula unit. Its space group is P4/mmm.

---

Entry 2:
Entry from the Alexandria database: a geometry-optimized ZrVS2 structure (PBE-GGA).

Unit cell a=5.1985 b=5.1694 c=9.9579 alpha=90.00 beta=90.00 gamma=90.00
With the nearest neighbours (Å) after each atom.
Atoms (fractional coordinates):
Zr  0.1037  0.0105  0.3612  6 S 2.59-2.66, 1 V 2.88
Zr  0.6037  0.9895  0.6388  6 S 2.59-2.66, 1 V 2.88
Zr  0.6037  0.4895  0.8612  6 S 2.59-2.66, 1 V 2.88
Zr  0.1037  0.5105  0.1388  6 S 2.59-2.66, 1 V 2.88
V  0.9911  0.0903  0.8542  4 S 2.34-2.51
V  0.4911  0.9097  0.1458  4 S 2.34-2.51
V  0.4911  0.4097  0.3542  4 S 2.34-2.51
V  0.9911  0.5903  0.6458  4 S 2.34-2.51
S  0.1007  0.5319  0.8716  2 V 2.34-2.36, 1 Zr 2.59
S  0.6007  0.4681  0.1284  2 V 2.34-2.36, 1 Zr 2.59
S  0.6007  0.9681  0.3716  2 V 2.34-2.36, 1 Zr 2.59
S  0.1007  0.0319  0.6284  2 V 2.34-2.36, 1 Zr 2.59
S  0.5543  0.9943  0.8999  2 V 2.37-2.51, 3 Zr 2.60-2.65
S  0.0543  0.0057  0.1001  2 V 2.37-2.51, 3 Zr 2.60-2.65
S  0.0543  0.5057  0.3999  2 V 2.37-2.51, 3 Zr 2.60-2.65
S  0.5543  0.4943  0.6001  2 V 2.37-2.51, 3 Zr 2.60-2.65

Calculated values
The total energy comes out at -30.0 eV per formula unit. For the energy relative to the lowest polymorph listed for this composition, the calculation gives 0.0000 eV/atom. The value obtained for the total magnetization is 0.84 μB per formula unit. Its space group is Pna2_1.